(1)
PBE Ga3Ru2Rh, relaxed; energy of formation from the pure elements = -447 meV/atom
1.0
3.029 0.000 0.000
0.000 3.029 0.000
0.000 0.000 9.104
Ga Ru Rh
3 2 1
direct
0.000 0.000 0.000
0.000 0.000 0.670
0.000 0.000 0.330
0.500 0.500 0.833
0.500 0.500 0.167
0.500 0.500 0.500

(2)
PBE RbDyHg2, relaxed; relative energy among the computed polymorphs = 0.000 eV per atom; energy of formation from the pure elements = -251 meV/atom
1.0
3.848 0.000 0.000
0.000 3.848 0.000
0.000 0.000 8.633
Hg Rb Dy
2 1 1
direct
0.000 0.000 0.808
0.000 0.000 0.192
0.500 0.500 0.500
0.500 0.500 0.000